No. 1
{
  "formula": "Mn3Os",
  "functional": "GGA-PBEsol",
  "state": "optimized geometry",
  "formation_enthalpy_0k_ev_per_atom": 0.082,
  "sg": "Pmmm",
  "dos_at_fermi_per_ev_cell": 4.4,
  "lattice": [[2.578, 0.000, 0.000], [0.000, 3.547, 0.000], [0.000, 0.000, 5.098]],
  "species": ["Os", "Mn", "Mn", "Mn"],
  "fractional_positions": [[0.500, 0.500, 0.000], [0.500, 0.500, 0.500], [0.000, 0.000, 0.741], [0.000, 0.000, 0.259]]
}

=====

No. 2
{
  "formula": "MnOs",
  "functional": "GGA-PBEsol",
  "state": "optimized geometry",
  "formation_enthalpy_0k_ev_per_atom": 0.092,
  "sg": "P-3m1",
  "dos_at_fermi_per_ev_cell": 4.8,
  "lattice": [[-2.186, 1.059, 1.054], [1.172, -2.062, 1.176], [4.597, 5.118, 4.394]],
  "species": ["Os", "Mn", "Os", "Mn"],
  "fractional_positions": [[0.333, 0.667, 0.364], [0.333, 0.667, 0.885], [0.667, 0.333, 0.636], [0.667, 0.333, 0.115]]
}

=====

- Which formula does entry 2 have?
  MnOs